A relaxed structure of CoP2Pb, computed with PBE.

Lattice parameters (Å, degrees): 3.0762 3.0762 7.3682 90.00 90.00 90.00
Space group P4mm (No. 99)
Symmetry-distinct sites (fractional):
Co1 0.0000 0.0000 0.0000 x1
P1 0.0000 0.0000 0.3065 x1
P2 0.5000 0.5000 0.1258 x1
Pb1 0.5000 0.5000 0.7052 x1

Formation enthalpy at 0 K: 0.738 eV/f.u.

***

A relaxed structure of CoP2Pb, computed with PBE.

Lattice parameters (Å, degrees): 3.0525 3.0525 7.4345 90.00 90.00 90.00
Space group P4/mmm (No. 123)
Symmetry-distinct sites (fractional):
Co1 0.0000 0.0000 0.0000 x1
P1 0.5000 0.5000 0.1559 x2
Pb1 0.0000 0.0000 0.5000 x1

Formation enthalpy at 0 K: 0.525 eV/f.u.

***

A relaxed structure of CoPPb2, computed with PBE.

Lattice parameters (Å, degrees): 6.1568 6.1568 12.0487 90.00 90.00 90.00
Space group I-42d (No. 122)
Symmetry-distinct sites (fractional):
Co1 0.0000 0.0000 0.0000 x4
P1 0.0000 0.0000 0.5000 x4
Pb1 0.2292 0.2500 0.1250 x8

Formation enthalpy at 0 K: 2.369 eV/f.u.

***

A relaxed structure of Co2PPb, computed with PBE.

Lattice parameters (Å, degrees): 3.5524 3.5524 6.0008 90.00 90.00 90.00
Space group P4mm (No. 99)
Symmetry-distinct sites (fractional):
Co1 0.0000 0.5000 0.0000 x2
P1 0.0000 0.0000 0.2042 x1
Pb1 0.5000 0.5000 0.6512 x1

Energy relative to the lowest polymorph listed for this composition: 0.85 eV per formula unit
Formation enthalpy at 0 K: 0.330 eV/f.u.

***

A relaxed structure of Co2PPb, computed with PBE.

Lattice parameters (Å, degrees): 6.3440 6.3440 6.3440 90.00 90.00 90.00
Space group F-43m (No. 216)
Symmetry-distinct sites (fractional):
Co1 0.0000 0.0000 0.0000 x4
Co2 0.2500 0.2500 0.2500 x4
P1 0.2500 0.2500 0.7500 x4
Pb1 0.0000 0.0000 0.5000 x4

Energy relative to the lowest polymorph listed for this composition: 3.54 eV per formula unit
Formation enthalpy at 0 K: 3.017 eV/f.u.

***

A relaxed structure of CoPPb2, computed with PBE.

Lattice parameters (Å, degrees): 6.5147 3.7787 7.3515 90.00 107.43 90.00
Space group C2/m (No. 12)
Symmetry-distinct sites (fractional):
Co1 0.0000 0.0000 0.0000 x2
P1 0.0000 0.5000 0.5000 x2
Pb1 0.2471 0.5000 0.2408 x4

Formation enthalpy at 0 K: 2.046 eV/f.u.

***

A relaxed structure of CoPPb4, computed with PBE.

Lattice parameters (Å, degrees): 8.8736 8.8736 8.8736 90.00 90.00 90.00
Space group F-43m (No. 216)
Symmetry-distinct sites (fractional):
Co1 0.0000 0.0000 0.0000 x4
P1 0.2500 0.2500 0.7500 x4
Pb1 0.1254 0.1254 0.3746 x16

Formation enthalpy at 0 K: 5.930 eV/f.u.

***

A relaxed structure of CoPPbS2, computed with PBE.

Lattice parameters (Å, degrees): 5.1890 5.1890 5.1330 90.00 90.00 90.00
Space group P4/mmm (No. 123)
Symmetry-distinct sites (fractional):
Co1 0.0000 0.0000 0.0000 x1
P1 0.5000 0.5000 0.0000 x1
Pb1 0.5000 0.5000 0.5000 x1
S1 0.0000 0.5000 0.5000 x2

Energy relative to the elements, uncorrected: 1.45 eV per atom

***

| no. | calculated volume (Å³ per cell) | DOS(E_F) (states/eV per cell) |
| --- | --- | --- |
| 1 | 69.73 | 2.75 |
| 2 | 69.27 | 3.08 |
| 3 | 456.72 | 19.41 |
| 4 | 75.73 | 4.53 |
| 5 | 255.33 | 23.46 |
| 6 | 172.66 | 11.52 |
| 7 | 698.72 | 22.57 |
| 8 | 138.21 | 5.64 |